i:
First-principles (PBE) data for a relaxed InSiNi6 crystal, as listed in Alexandria via LeMat-Bulk.

**Total magnetization**: 2.30 μB/cell
**Space-group type**: Cmmm (65)
**D(E_F)**: 36.972 states/eV per cell

abc: 6.290 6.290 10.334
angles: 90.00 90.00 110.91
Fractional positions:
In 0.000 0.000 0.249
In 0.000 0.000 0.751
In 0.241 0.759 0.500
In 0.759 0.241 0.500
Si 0.241 0.759 0.000
Si 0.500 0.500 0.244
Si 0.500 0.500 0.756
Si 0.759 0.241 0.000
Ni 0.000 0.000 0.000
Ni 0.000 0.000 0.500
Ni 0.133 0.389 0.118
Ni 0.133 0.389 0.882
Ni 0.147 0.391 0.365
Ni 0.147 0.391 0.635
Ni 0.252 0.748 0.235
Ni 0.252 0.748 0.765
Ni 0.389 0.133 0.118
Ni 0.389 0.133 0.882
Ni 0.391 0.147 0.365
Ni 0.391 0.147 0.635
Ni 0.500 0.500 0.000
Ni 0.500 0.500 0.500
Ni 0.609 0.853 0.365
Ni 0.609 0.853 0.635
Ni 0.611 0.867 0.118
Ni 0.611 0.867 0.882
Ni 0.748 0.252 0.235
Ni 0.748 0.252 0.765
Ni 0.853 0.609 0.365
Ni 0.853 0.609 0.635
Ni 0.867 0.611 0.118
Ni 0.867 0.611 0.882


ii:
First-principles (PBE) data for a relaxed InSiNi6 crystal, as listed in Alexandria via LeMat-Bulk.

**Total magnetization**: 0.60 μB/cell
**Space-group type**: P4/mmm (123)
**D(E_F)**: 8.598 states/eV per cell

abc: 3.651 3.651 7.157
angles: 90.00 90.00 90.00
Fractional positions:
In 0.000 0.000 0.000
Si 0.000 0.000 0.500
Ni 0.000 0.500 0.274
Ni 0.000 0.500 0.726
Ni 0.500 0.000 0.274
Ni 0.500 0.000 0.726
Ni 0.500 0.500 0.000
Ni 0.500 0.500 0.500


Tell me which of them is the least stable. Sure, it is i.